VASP calculation (PBE-GGA) on crystalline Pr4HoEr10 at its relaxed geometry.

a b c (Å): 7.9526 8.8959 8.8959
angles (deg): 78.48 63.45 63.45
Closest atoms and distances in Å follow each position.
Sites, in units of the cell vectors:
Pr 0.2272 0.9999 0.5458  8 Er 3.47-3.56, 1 Ho 3.61
Pr 0.7729 0.4542 0.9999  8 Er 3.47-3.56, 1 Ho 3.61
Pr 0.2271 0.5458 0.0001  8 Er 3.47-3.56, 1 Ho 3.61
Pr 0.7728 0.0001 0.4542  8 Er 3.47-3.56, 1 Ho 3.61
Ho 0.0000 0.0000 0.0000  8 Er 3.31, 4 Pr 3.61
Er 0.2500 0.5000 0.5000  4 Er 3.31
Er 0.7059 0.2078 0.7921  4 Er 3.27-3.31, 1 Ho 3.31, 4 Pr 3.47-3.56
Er 0.0863 0.2079 0.2078  4 Er 3.27-3.31, 1 Ho 3.31, 4 Pr 3.47-3.56
Er 0.5020 0.7921 0.7922  4 Er 3.27-3.31, 1 Ho 3.31, 4 Pr 3.47-3.56
Er 0.7059 0.7922 0.2079  4 Er 3.27-3.31, 1 Ho 3.31, 4 Pr 3.47-3.56
Er 0.2941 0.7922 0.2079  4 Er 3.27-3.31, 1 Ho 3.31, 4 Pr 3.47-3.56
Er 0.7500 0.5000 0.5000  4 Er 3.31
Er 0.2941 0.2078 0.7921  4 Er 3.27-3.31, 1 Ho 3.31, 4 Pr 3.47-3.56
Er 0.4980 0.2079 0.2078  4 Er 3.27-3.31, 1 Ho 3.31, 4 Pr 3.47-3.56
Er 0.9137 0.7921 0.7922  4 Er 3.27-3.31, 1 Ho 3.31, 4 Pr 3.47-3.56

***

VASP calculation (PBE-GGA) on crystalline Pr11Ho9Er4 at its relaxed geometry.

a b c (Å): 3.6663 15.4777 15.4777
angles (deg): 113.16 90.00 90.00
Closest atoms and distances in Å follow each position.
Sites, in units of the cell vectors:
Pr 0.0000 0.5950 0.9572  2 Er 3.41, 6 Ho 3.57-3.73, 3 Pr 3.67
Pr 0.0000 0.4050 0.0428  2 Er 3.41, 6 Ho 3.57-3.73, 3 Pr 3.67
Pr 0.0000 0.9572 0.5950  2 Er 3.41, 6 Ho 3.57-3.73, 3 Pr 3.67
Pr 0.0000 0.0428 0.4050  2 Er 3.41, 6 Ho 3.57-3.73, 3 Pr 3.67
Pr 0.0000 0.6314 0.3686  4 Er 3.34, 4 Ho 3.63, 2 Pr 3.67
Pr 0.0000 0.3686 0.6314  4 Er 3.34, 4 Ho 3.63, 2 Pr 3.67
Pr 0.0000 0.8397 0.1603  4 Pr 3.67-3.85, 8 Ho 3.76-3.79
Pr 0.0000 0.1603 0.8397  4 Pr 3.67-3.85, 8 Ho 3.76-3.79
Pr 0.0000 0.0000 0.0000  8 Ho 3.56, 2 Pr 3.67
Pr 0.0000 0.7069 0.7069  4 Er 3.32, 2 Pr 3.67, 4 Ho 3.68
Pr 0.0000 0.2931 0.2931  4 Er 3.32, 2 Pr 3.67, 4 Ho 3.68
Ho 0.5000 0.6303 0.1660  3 Ho 3.47-3.67, 1 Er 3.49, 8 Pr 3.57-3.76
Ho 0.5000 0.3697 0.8340  3 Ho 3.47-3.67, 1 Er 3.49, 8 Pr 3.57-3.76
Ho 0.5000 0.1660 0.6303  3 Ho 3.47-3.67, 1 Er 3.49, 8 Pr 3.57-3.76
Ho 0.5000 0.8340 0.3697  3 Ho 3.47-3.67, 1 Er 3.49, 8 Pr 3.57-3.76
Ho 0.5000 0.7861 0.9310  1 Er 3.51, 8 Pr 3.56-3.79, 3 Ho 3.67-3.74
Ho 0.5000 0.2139 0.0690  1 Er 3.51, 8 Pr 3.56-3.79, 3 Ho 3.67-3.74
Ho 0.5000 0.9310 0.7861  1 Er 3.51, 8 Pr 3.56-3.79, 3 Ho 3.67-3.74
Ho 0.5000 0.0690 0.2139  1 Er 3.51, 8 Pr 3.56-3.79, 3 Ho 3.67-3.74
Ho 0.5000 0.5000 0.5000  2 Ho 3.67, 4 Er 3.76, 8 Pr 3.86-3.98
Er 0.5000 0.5554 0.7592  6 Pr 3.32-3.41, 2 Ho 3.49-3.51, 2 Er 3.67
Er 0.5000 0.4446 0.2408  6 Pr 3.32-3.41, 2 Ho 3.49-3.51, 2 Er 3.67
Er 0.5000 0.7592 0.5554  6 Pr 3.32-3.41, 2 Ho 3.49-3.51, 2 Er 3.67
Er 0.5000 0.2408 0.4446  6 Pr 3.32-3.41, 2 Ho 3.49-3.51, 2 Er 3.67

***

VASP calculation (PBE-GGA) on crystalline PrHo4Er10 at its relaxed geometry.

a b c (Å): 10.7688 8.7382 8.7382
angles (deg): 67.69 51.96 51.96
Closest atoms and distances in Å follow each position.
Sites, in units of the cell vectors:
Pr 0.0000 0.0000 0.0000  8 Er 3.05
Ho 0.5555 0.6496 0.2395  6 Er 3.39-3.70
Ho 0.7950 0.7605 0.6496  6 Er 3.39-3.70
Ho 0.2050 0.2395 0.3504  6 Er 3.39-3.70
Ho 0.4445 0.3504 0.7605  6 Er 3.39-3.70
Er 0.2500 0.5000 0.5000  4 Er 3.09, 4 Ho 3.39
Er 0.7097 0.3419 0.9012  1 Pr 3.05, 2 Er 3.09-3.11
Er 0.9484 0.0988 0.3419  1 Pr 3.05, 2 Er 3.09-3.11
Er 0.3891 0.9012 0.6581  1 Pr 3.05, 2 Er 3.09-3.11
Er 0.9528 0.6581 0.0988  1 Pr 3.05, 2 Er 3.09-3.11
Er 0.2903 0.6581 0.0988  1 Pr 3.05, 2 Er 3.09-3.11
Er 0.7500 0.5000 0.5000  4 Er 3.09, 4 Ho 3.39
Er 0.0472 0.3419 0.9012  1 Pr 3.05, 2 Er 3.09-3.11
Er 0.6109 0.0988 0.3419  1 Pr 3.05, 2 Er 3.09-3.11
Er 0.0516 0.9012 0.6581  1 Pr 3.05, 2 Er 3.09-3.11

***

VASP calculation (PBE-GGA) on crystalline Pr4HoEr15 at its relaxed geometry.

a b c (Å): 5.0267 5.0267 24.9944
angles (deg): 90.00 90.00 90.00
Closest atoms and distances in Å follow each position.
Sites, in units of the cell vectors:
Pr 0.0000 0.0000 0.1993  12 Er 3.54-3.57
Pr 0.0000 0.0000 0.3995  12 Er 3.55
Pr 0.0000 0.0000 0.6005  12 Er 3.55
Pr 0.0000 0.0000 0.8007  12 Er 3.54-3.57
Ho 0.0000 0.0000 0.0000  12 Er 3.51-3.55
Er 0.5000 0.5000 0.0000  8 Er 3.51, 4 Ho 3.55
Er 0.5000 0.5000 0.1986  8 Er 3.55-3.56, 4 Pr 3.55
Er 0.5000 0.5000 0.3997  8 Er 3.55, 4 Pr 3.55
Er 0.5000 0.5000 0.6003  8 Er 3.55, 4 Pr 3.55
Er 0.5000 0.5000 0.8014  8 Er 3.55-3.56, 4 Pr 3.55
Er 0.5000 0.0000 0.0981  2 Ho 3.51, 8 Er 3.51-3.55, 2 Pr 3.57
Er 0.5000 0.0000 0.2992  4 Pr 3.54-3.55, 8 Er 3.55-3.56
Er 0.5000 0.0000 0.5000  8 Er 3.55, 4 Pr 3.55
Er 0.5000 0.0000 0.7008  4 Pr 3.54-3.55, 8 Er 3.55-3.56
Er 0.5000 0.0000 0.9019  2 Ho 3.51, 8 Er 3.51-3.55, 2 Pr 3.57
Er 0.0000 0.5000 0.0981  8 Er 3.51-3.55, 2 Ho 3.51, 2 Pr 3.57
Er 0.0000 0.5000 0.2992  4 Pr 3.54-3.55, 8 Er 3.55-3.56
Er 0.0000 0.5000 0.5000  8 Er 3.55, 4 Pr 3.55
Er 0.0000 0.5000 0.7008  4 Pr 3.54-3.55, 8 Er 3.55-3.56
Er 0.0000 0.5000 0.9019  8 Er 3.51-3.55, 2 Ho 3.51, 2 Pr 3.57

***

VASP calculation (PBE-GGA) on crystalline Pr8HoEr2 at its relaxed geometry.

Calculated values
energy above the lowest structure with this stoichiometry	0	meV/atom

a b c (Å): 5.5143 8.6229 8.6229
angles (deg): 104.84 90.09 90.09
Closest atoms and distances in Å follow each position.
Sites, in units of the cell vectors:
Pr 0.9996 0.9694 0.7000  7 Pr 3.48-3.77, 2 Er 3.53-3.79, 2 Ho 3.74
Pr 0.9996 0.7000 0.9694  7 Pr 3.48-3.77, 2 Er 3.53-3.79, 2 Ho 3.74
Pr 0.5004 0.6656 0.6656  7 Pr 3.48-3.80, 1 Ho 3.52, 4 Er 3.64-3.65
Pr 0.5000 0.2529 0.7471  2 Er 3.27, 1 Ho 3.46, 4 Pr 3.64
Pr 0.5000 0.7471 0.2529  2 Er 3.27, 1 Ho 3.46, 4 Pr 3.64
Pr 0.4996 0.3344 0.3344  7 Pr 3.48-3.80, 1 Ho 3.52, 4 Er 3.64-3.65
Pr 0.0004 0.3000 0.0306  7 Pr 3.48-3.77, 2 Er 3.53-3.79, 2 Ho 3.74
Pr 0.0004 0.0306 0.3000  7 Pr 3.48-3.77, 2 Er 3.53-3.79, 2 Ho 3.74
Ho 0.5000 0.0000 0.0000  12 Pr 3.46-3.74
Er 0.0000 0.6189 0.3811  1 Er 3.25, 4 Pr 3.27-3.53
Er 0.0000 0.3811 0.6189  1 Er 3.25, 4 Pr 3.27-3.53

***

VASP calculation (PBE-GGA) on crystalline Pr2Ho2Er7 at its relaxed geometry.

Calculated values
energy above the lowest structure with this stoichiometry	5	meV/atom

a b c (Å): 6.0327 8.5721 8.5721
angles (deg): 83.64 63.79 63.79
Closest atoms and distances in Å follow each position.
Sites, in units of the cell vectors:
Pr 0.1277 0.2318 0.2318  8 Er 3.33-3.69, 2 Ho 3.49
Pr 0.8723 0.7682 0.7682  8 Er 3.33-3.69, 2 Ho 3.49
Ho 0.5000 0.2186 0.7814  6 Er 3.28-3.63, 2 Pr 3.49
Ho 0.5000 0.7814 0.2186  6 Er 3.28-3.63, 2 Pr 3.49
Er 0.1729 0.0628 0.5914  3 Er 3.22-3.60, 2 Ho 3.28-3.44, 2 Pr 3.33-3.57
Er 0.8271 0.4086 0.9372  3 Er 3.22-3.60, 2 Ho 3.28-3.44, 2 Pr 3.33-3.57
Er 0.8271 0.9372 0.4086  3 Er 3.22-3.60, 2 Ho 3.28-3.44, 2 Pr 3.33-3.57
Er 0.1729 0.5914 0.0628  3 Er 3.22-3.60, 2 Ho 3.28-3.44, 2 Pr 3.33-3.57
Er 0.0000 0.0000 0.0000  4 Er 3.24, 2 Pr 3.47
Er 0.6237 0.5889 0.5889  6 Er 3.38-3.76, 3 Pr 3.40-3.69, 2 Ho 3.63
Er 0.3763 0.4111 0.4111  6 Er 3.38-3.76, 3 Pr 3.40-3.69, 2 Ho 3.63

***

VASP calculation (PBE-GGA) on crystalline PrHo3Er7 at its relaxed geometry.

Calculated values
energy above the lowest structure with this stoichiometry	112	meV/atom

a b c (Å): 5.7528 8.3664 8.3664
angles (deg): 83.34 110.17 110.17
Closest atoms and distances in Å follow each position.
Sites, in units of the cell vectors:
Pr 0.5000 0.5000 0.5000  2 Er 2.88
Ho 0.0000 0.7942 0.2058  5 Er 3.23-3.42
Ho 0.5000 0.0000 0.0000  4 Er 3.16
Ho 0.0000 0.2058 0.7942  5 Er 3.23-3.42
Er 0.2065 0.2057 0.2057  2 Ho 3.23, 1 Pr 3.26, 6 Er 3.54-3.60
Er 0.2911 0.9847 0.5979  2 Ho 3.16-3.42, 2 Er 3.27
Er 0.7089 0.4021 0.0153  2 Ho 3.16-3.42, 2 Er 3.27
Er 0.2911 0.5979 0.9847  2 Ho 3.16-3.42, 2 Er 3.27
Er 0.0000 0.5000 0.5000  2 Pr 2.88
Er 0.7089 0.0153 0.4021  2 Ho 3.16-3.42, 2 Er 3.27
Er 0.7935 0.7943 0.7943  2 Ho 3.23, 1 Pr 3.26, 6 Er 3.54-3.60

***

VASP calculation (PBE-GGA) on crystalline PrHo2Er7 at its relaxed geometry.

Calculated values
energy above the lowest structure with this stoichiometry	687	meV/atom

a b c (Å): 5.5829 9.1089 9.1089
angles (deg): 123.06 90.00 90.00
Closest atoms and distances in Å follow each position.
Sites, in units of the cell vectors:
Pr 0.0000 0.0000 0.0000  10 Er 3.46-3.68
Ho 0.5000 0.7032 0.2968  7 Er 3.07-3.28
Ho 0.5000 0.2968 0.7032  7 Er 3.07-3.28
Er 0.0000 0.7837 0.2163  2 Ho 3.07
Er 0.0000 0.2163 0.7837  2 Ho 3.07
Er 0.5000 0.0610 0.2920  2 Er 3.07-3.36, 2 Ho 3.14-3.28
Er 0.5000 0.9390 0.7080  2 Er 3.07-3.36, 2 Ho 3.14-3.28
Er 0.5000 0.2920 0.0610  2 Er 3.07-3.36, 2 Ho 3.14-3.28
Er 0.5000 0.7080 0.9390  2 Er 3.07-3.36, 2 Ho 3.14-3.28
Er 0.5000 0.5000 0.5000  2 Ho 3.25, 4 Er 3.36

***

So what do the calculations give for E_form? Going down the list: 0.274, 0.056, 0.490, 0.025, 0.154, 0.160, 0.265, 0.709 eV/atom.